Entry 1:
First-principles (PBE-GGA) data for a relaxed structure of Np2AsPH2, as listed in the Alexandria database.

**Density**: 10563 kg/m³
**SG**: P-3m1
**Crystal system**: trigonal
**E_tot**: -7.70 eV/atom

```
Np2AsPH2
1.0
-3.5530 -0.6933 1.1706
2.4634 -2.8708 -0.4058
2.1203 0.8394 6.9327
Np P H As
2 1 2 1
Direct
0.3333 0.6667 0.2404
0.6667 0.3333 0.7596
0.0000 0.0000 0.0000
0.6667 0.3333 0.2447
0.3333 0.6667 0.7553
0.0000 0.0000 0.5000
```

Entry 2:
First-principles (PBE-GGA) data for a relaxed structure of PmHo3Cl, as listed in the Alexandria database.

**Density**: 7611 kg/m³
**SG**: Pm-3m
**Crystal system**: cubic
**E_form (uncorrected)**: -0.44 eV/atom

```
PmHo3Cl
1.0
5.2815 0.0000 0.0000
0.0000 5.2815 0.0000
0.0000 0.0000 5.2815
Ho Pm Cl
3 1 1
Direct
0.0000 0.0000 0.5000
0.0000 0.5000 0.0000
0.5000 0.0000 0.0000
0.5000 0.5000 0.5000
0.0000 0.0000 0.0000
```

no.,magnetic moment (Bohr magnetons per cell),DOS(E_F) (states/eV/cell)
1,6.00,12.483
2,0.00,4.941